DFT (PBE-GGA) results for an optimized crystal structure of K2BaAu2.

Unit cell a=9.3721 b=9.3721 c=3.8625 alpha=90.00 beta=90.00 gamma=90.00
Fractional coordinates of all 10 atoms:
K1 0.1198 0.3802 0.0000
K2 0.3802 0.8802 0.0000
K3 0.6198 0.1198 0.0000
K4 0.8802 0.6198 0.0000
Ba1 0.0000 0.0000 0.0000
Ba2 0.5000 0.5000 0.0000
Au1 0.1831 0.6831 0.5000
Au2 0.3169 0.1831 0.5000
Au3 0.6831 0.8169 0.5000
Au4 0.8169 0.3169 0.5000

Output
- distance to the lowest polymorph of the same formula (meV/atom) = 133.8
- E_form (eV/f.u.) = -1.0
- symmetry = P4/mbm, No. 127
- DOS at the Fermi energy (states/eV/atom) = 0.981
- crystal system = tetragonal